A plane-wave DFT calculation with PBE was carried out for crystalline Zr2TaHgF at its relaxed geometry.

Summary:
Density: 8.6 Mg/m³
SG: No. 123
Raw formation energy: 0.45 eV/f.u.

The structure in POSCAR format:
```
Zr2TaHgF
1.0
5.2756 0.0000 0.0000
0.0000 5.2756 0.0000
0.0000 0.0000 4.0673
Zr Ta Hg F
2 1 1 1
Cartesian
0.0000 2.6378 0.0000
2.6378 0.0000 0.0000
0.0000 0.0000 0.0000
2.6378 2.6378 2.0337
0.0000 0.0000 2.0337
```